First-principles (GGA-PBEsol) data for Ta2IrRh after structural relaxation, as listed in the Alexandria database.

Cell and atoms, written as CIF:
```
data_Ta2IrRh
_chemical_formula_sum 'Ta2 Ir1 Rh1'
_symmetry_space_group_name_H-M 'P 1'
_symmetry_Int_Tables_number 1
_symmetry_space_group_name_Hall 'P 1'
_cell_length_a 3.815
_cell_length_b 4.029
_cell_length_c 4.029
_cell_angle_alpha 90.00
_cell_angle_beta 90.00
_cell_angle_gamma 90.00
loop_
_atom_site_label
_atom_site_fract_x
_atom_site_fract_y
_atom_site_fract_z
Ta1 0.000 0.000 0.500
Ta2 0.000 0.500 0.000
Ir1 0.500 0.500 0.500
Rh1 0.500 0.000 0.000
```

Properties
Energy of formation from the pure elements: -0.5463 eV/atom
Size of the total moment: 0.0 μB per formula unit
DOS at the Fermi energy: 0.7633 states/eV/atom